1.
DFT (GGA-PBE) results for a geometry-optimized TaNbHOs2 structure.

The structure belongs to space group P4/mmm (No. 123); the cell edges are 4.0567, 4.0567 and 4.0465 Å and the angles 90.00°, 90.00° and 90.00°. Symmetry generates all atoms from Ta at (0.0000, 0.0000, 0.0000), Nb at (0.5000, 0.5000, 0.0000), H at (0.5000, 0.5000, 0.5000) and Os at (0.0000, 0.5000, 0.5000).

The value obtained for the total magnetization is 0.0 μB per formula unit. The energy relative to the lowest polymorph listed for this composition is 0 meV per atom.

2.
DFT (GGA-PBE) results for a geometry-optimized TaNbHOs2 structure.

The structure belongs to space group P4/mmm (No. 123); the cell edges are 4.0555, 4.0555 and 4.0510 Å and the angles 90.00°, 90.00° and 90.00°. Symmetry generates all atoms from Ta at (0.0000, 0.0000, 0.0000), Nb at (0.5000, 0.5000, 0.0000), H at (0.0000, 0.0000, 0.5000) and Os at (0.0000, 0.5000, 0.5000).

The value obtained for the total magnetization is 0.0 μB per formula unit. The energy relative to the lowest polymorph listed for this composition is 12 meV per atom.

3.
DFT (GGA-PBE) results for a geometry-optimized Nb2TcHOs structure.

The structure belongs to space group P4/mmm (No. 123); the cell edges are 4.3595, 4.3595 and 3.5694 Å and the angles 90.00°, 90.00° and 90.00°. Symmetry generates all atoms from Nb at (0.0000, 0.5000, 0.0000), Tc at (0.0000, 0.0000, 0.5000), H at (0.0000, 0.0000, 0.0000) and Os at (0.5000, 0.5000, 0.5000).

The value obtained for the total magnetization is 0.0 μB per formula unit. The energy relative to the lowest polymorph listed for this composition is 0 meV per atom.

4.
DFT (GGA-PBE) results for a geometry-optimized Nb2TcHOs structure.

The structure belongs to space group P4/mmm (No. 123); the cell edges are 4.3772, 4.3772 and 3.5514 Å and the angles 90.00°, 90.00° and 90.00°. Symmetry generates all atoms from Nb at (0.0000, 0.5000, 0.0000), Tc at (0.0000, 0.0000, 0.5000), H at (0.5000, 0.5000, 0.0000) and Os at (0.5000, 0.5000, 0.5000).

The value obtained for the total magnetization is 0.0 μB per formula unit. The energy relative to the lowest polymorph listed for this composition is 6 meV per atom.

5.
DFT (GGA-PBE) results for a geometry-optimized TiNb2HOs structure.

The structure belongs to space group P4/mmm (No. 123); the cell edges are 3.9082, 3.9082 and 4.5668 Å and the angles 90.00°, 90.00° and 90.00°. Symmetry generates all atoms from Ti at (0.0000, 0.0000, 0.0000), Nb at (0.0000, 0.5000, 0.5000), H at (0.0000, 0.0000, 0.5000) and Os at (0.5000, 0.5000, 0.0000).

The calculation puts the electronic total energy at -8.6205 eV/atom. The value obtained for the total magnetization is 0.0 μB per formula unit.

6.
DFT (GGA-PBE) results for a geometry-optimized NbV2HOs structure.

The structure belongs to space group P4/mmm (No. 123); the cell edges are 3.7690, 3.7690 and 4.3855 Å and the angles 90.00°, 90.00° and 90.00°. Symmetry generates all atoms from Nb at (0.0000, 0.0000, 0.0000), V at (0.0000, 0.5000, 0.5000), H at (0.0000, 0.0000, 0.5000) and Os at (0.5000, 0.5000, 0.0000).

The value obtained for the total magnetization is 0.0 μB per formula unit. The energy relative to the lowest polymorph listed for this composition is 0 meV per atom.

7.
DFT (GGA-PBE) results for a geometry-optimized NbV2HOs structure.

The structure belongs to space group P4/mmm (No. 123); the cell edges are 4.1964, 4.1964 and 3.4561 Å and the angles 90.00°, 90.00° and 90.00°. Symmetry generates all atoms from Nb at (0.0000, 0.0000, 0.0000), V at (0.0000, 0.5000, 0.5000), H at (0.5000, 0.5000, 0.5000) and Os at (0.5000, 0.5000, 0.0000).

The value obtained for the total magnetization is 0.0 μB per formula unit. The energy relative to the lowest polymorph listed for this composition is 18 meV per atom.

8.
DFT (GGA-PBE) results for a geometry-optimized NbHOsW2 structure.

The structure belongs to space group P4/mmm (No. 123); the cell edges are 4.0209, 4.0209 and 4.1447 Å and the angles 90.00°, 90.00° and 90.00°. Symmetry generates all atoms from Nb at (0.0000, 0.0000, 0.0000), H at (0.0000, 0.0000, 0.5000), Os at (0.5000, 0.5000, 0.0000) and W at (0.0000, 0.5000, 0.5000).

The calculation puts the electronic total energy at -9.9467 eV/atom. The value obtained for the total magnetization is 0.0 μB per formula unit.

9.
DFT (GGA-PBE) results for a geometry-optimized Nb2HOsW structure.

The structure belongs to space group P4/mmm (No. 123); the cell edges are 4.4481, 4.4481 and 3.5243 Å and the angles 90.00°, 90.00° and 90.00°. Symmetry generates all atoms from Nb at (0.0000, 0.5000, 0.0000), H at (0.0000, 0.0000, 0.0000), Os at (0.0000, 0.0000, 0.5000) and W at (0.5000, 0.5000, 0.5000).

The value obtained for the total magnetization is 0.0 μB per formula unit. The energy relative to the lowest polymorph listed for this composition is 0 meV per atom.

10.
DFT (GGA-PBE) results for a geometry-optimized NbHOs2W structure.

The structure belongs to space group P4/mmm (No. 123); the cell edges are 3.9883, 3.9883 and 4.0665 Å and the angles 90.00°, 90.00° and 90.00°. Symmetry generates all atoms from Nb at (0.0000, 0.0000, 0.0000), H at (0.0000, 0.0000, 0.5000), Os at (0.0000, 0.5000, 0.5000) and W at (0.5000, 0.5000, 0.0000).

The value obtained for the total magnetization is 0.0 μB per formula unit. The energy relative to the lowest polymorph listed for this composition is 0 meV per atom.

11.
DFT (GGA-PBE) results for a geometry-optimized NbHOs2W structure.

The structure belongs to space group P4/mmm (No. 123); the cell edges are 3.9978, 3.9978 and 4.0515 Å and the angles 90.00°, 90.00° and 90.00°. Symmetry generates all atoms from Nb at (0.0000, 0.0000, 0.0000), H at (0.5000, 0.5000, 0.5000), Os at (0.0000, 0.5000, 0.5000) and W at (0.5000, 0.5000, 0.0000).

The value obtained for the total magnetization is 0.0 μB per formula unit. The energy relative to the lowest polymorph listed for this composition is 12 meV per atom.

12.
DFT (GGA-PBE) results for a geometry-optimized Nb2HOsW structure.

The structure belongs to space group P4/mmm (No. 123); the cell edges are 4.4509, 4.4509 and 3.5150 Å and the angles 90.00°, 90.00° and 90.00°. Symmetry generates all atoms from Nb at (0.0000, 0.5000, 0.0000), H at (0.0000, 0.0000, 0.0000), Os at (0.5000, 0.5000, 0.5000) and W at (0.0000, 0.0000, 0.5000).

The value obtained for the total magnetization is 0.0 μB per formula unit. The energy relative to the lowest polymorph listed for this composition is 56 meV per atom.

Density of states at the Fermi level? In order: 4.0 3.9 3.9 3.2 3.7 3.8 1.9 4.4 3.8 5.1 4.0 4.9 states/eV per cell.